{"formula": "RbH3CN2O", "functional": "PBEsol", "state": "relaxed", "cell": [[7.1456, 0.0000, 0.0000], [0.0000, 7.2820, 0.0000], [0.0000, 0.0000, 13.8057]], "species": ["Rb", "Rb", "Rb", "Rb", "Rb", "Rb", "Rb", "Rb", "H", "H", "H", "H", "H", "H", "H", "H", "H", "H", "H", "H", "H", "H", "H", "H", "H", "H", "H", "H", "H", "H", "H", "H", "C", "C", "C", "C", "C", "C", "C", "C", "N", "N", "N", "N", "N", "N", "N", "N", "N", "N", "N", "N", "N", "N", "N", "N", "O", "O", "O", "O", "O", "O", "O", "O"], "fractional_positions": [[0.4007, 0.9568, 0.1921], [0.9007, 0.5432, 0.8079], [0.5993, 0.4568, 0.3079], [0.0993, 0.0432, 0.6921], [0.5993, 0.0432, 0.8079], [0.0993, 0.4568, 0.1921], [0.4007, 0.5432, 0.6921], [0.9007, 0.9568, 0.3079], [0.8894, 0.9174, 0.9548], [0.3894, 0.5826, 0.0452], [0.1106, 0.4174, 0.5452], [0.6106, 0.0826, 0.4548], [0.1106, 0.0826, 0.0452], [0.6106, 0.4174, 0.9548], [0.8894, 0.5826, 0.4548], [0.3894, 0.9174, 0.5452], [0.7125, 0.7486, 0.9675], [0.2125, 0.7514, 0.0325], [0.2875, 0.2486, 0.5325], [0.7875, 0.2514, 0.4675], [0.2875, 0.2514, 0.0325], [0.7875, 0.2486, 0.9675], [0.7125, 0.7514, 0.4675], [0.2125, 0.7486, 0.5325], [0.6663, 0.6403, 0.1167], [0.1663, 0.8597, 0.8833], [0.3337, 0.1403, 0.3833], [0.8337, 0.3597, 0.6167], [0.3337, 0.3597, 0.8833], [0.8337, 0.1403, 0.1167], [0.6663, 0.8597, 0.6167], [0.1663, 0.6403, 0.3833], [0.8795, 0.7942, 0.0887], [0.3795, 0.7058, 0.9113], [0.1205, 0.2942, 0.4113], [0.6205, 0.2058, 0.5887], [0.1205, 0.2058, 0.9113], [0.6205, 0.2942, 0.0887], [0.8795, 0.7058, 0.5887], [0.3795, 0.7942, 0.4113], [0.8377, 0.8032, 0.9911], [0.3377, 0.6968, 0.0089], [0.1623, 0.3032, 0.5089], [0.6623, 0.1968, 0.4911], [0.1623, 0.1968, 0.0089], [0.6623, 0.3032, 0.9911], [0.8377, 0.6968, 0.4911], [0.3377, 0.8032, 0.5089], [0.7780, 0.7003, 0.1518], [0.2780, 0.7997, 0.8482], [0.2220, 0.2003, 0.3482], [0.7220, 0.2997, 0.6518], [0.2220, 0.2997, 0.8482], [0.7220, 0.2003, 0.1518], [0.7780, 0.7997, 0.6518], [0.2780, 0.7003, 0.3482], [0.0322, 0.8788, 0.1153], [0.5322, 0.6212, 0.8847], [0.9678, 0.3788, 0.3847], [0.4678, 0.1212, 0.6153], [0.9678, 0.1212, 0.8847], [0.4678, 0.3788, 0.1153], [0.0322, 0.6212, 0.6153], [0.5322, 0.8788, 0.3847]], "energy_ev_per_atom": -6.07, "magnetic_moment_mub_per_cell": 0.000}